{"formula": "Cs2LiTeCl6", "functional": "GGA-PBE", "state": "relaxed", "cell": [[-3.8028, 3.8028, 5.3344], [3.8028, -3.8028, 5.3344], [3.8028, 3.8028, -5.3344]], "species": ["Cs", "Cs", "Li", "Te", "Cl", "Cl", "Cl", "Cl", "Cl", "Cl"], "frac_coords": [[0.2500, 0.7500, 0.5000], [0.7500, 0.2500, 0.5000], [0.0000, 0.0000, 0.0000], [0.5000, 0.5000, 0.0000], [0.2390, 0.2390, 0.4780], [0.2390, 0.7610, 0.0000], [0.2600, 0.2600, 0.0000], [0.7400, 0.7400, 0.0000], [0.7610, 0.2390, 0.0000], [0.7610, 0.7610, 0.5220]], "e_form_raw_ev_per_atom": -1.308, "de_polymorph_ev_per_fu": 0.13}

---

{"formula": "CsLi2ThCl8", "functional": "GGA-PBE", "state": "relaxed", "cell": [[6.5198, -3.5357, 0.0000], [6.5198, 3.5357, 0.0000], [-0.6567, 0.0000, 9.8086]], "species": ["Cs", "Li", "Li", "Th", "Cl", "Cl", "Cl", "Cl", "Cl", "Cl", "Cl", "Cl"], "frac_coords": [[0.0000, 0.0000, 0.0000], [0.3212, 0.3212, 0.2599], [0.6788, 0.6788, 0.7401], [0.0000, 0.0000, 0.5000], [0.1910, 0.1910, 0.4184], [0.2042, 0.6937, 0.3022], [0.2701, 0.2701, 0.0233], [0.3063, 0.7958, 0.6978], [0.6937, 0.2042, 0.3022], [0.7299, 0.7299, 0.9767], [0.7958, 0.3063, 0.6978], [0.8090, 0.8090, 0.5816]], "e_form_raw_ev_per_atom": -1.758}

---

{"formula": "CsLiTiCl6", "functional": "GGA-PBE", "state": "relaxed", "cell": [[6.5539, 0.0000, 0.0000], [-3.2770, 5.6758, 0.0000], [0.0000, 0.0000, 7.7105]], "species": ["Cs", "Li", "Ti", "Cl", "Cl", "Cl", "Cl", "Cl", "Cl"], "frac_coords": [[0.0000, 0.0000, 0.0000], [0.3333, 0.6667, 0.5000], [0.6667, 0.3333, 0.5000], [0.3902, 0.0251, 0.6786], [0.3902, 0.3652, 0.3214], [0.6348, 0.0251, 0.3214], [0.6348, 0.6098, 0.6786], [0.9749, 0.3652, 0.6786], [0.9749, 0.6098, 0.3214]], "e_form_raw_ev_per_atom": -1.732}

---

{"formula": "CsLiTl2Cl4", "functional": "GGA-PBE", "state": "relaxed", "cell": [[6.5029, -6.4455, 0.0000], [6.5029, 6.4455, 0.0000], [-6.3953, 0.0000, 6.5156]], "species": ["Cs", "Cs", "Li", "Li", "Tl", "Tl", "Tl", "Tl", "Cl", "Cl", "Cl", "Cl", "Cl", "Cl", "Cl", "Cl"], "frac_coords": [[0.0000, 0.0000, 0.0000], [0.0000, 0.0000, 0.5000], [0.0000, 0.5000, 0.0000], [0.5000, 0.0000, 0.5000], [0.0000, 0.5000, 0.5000], [0.5000, 0.0000, 0.0000], [0.5000, 0.5000, 0.0000], [0.5000, 0.5000, 0.5000], [0.1978, 0.3263, 0.0120], [0.2565, 0.7415, 0.9872], [0.2585, 0.7435, 0.5128], [0.3263, 0.1978, 0.5120], [0.6737, 0.8022, 0.4880], [0.7415, 0.2565, 0.4872], [0.7435, 0.2585, 0.0128], [0.8022, 0.6737, 0.9880]], "e_form_raw_ev_per_atom": -1.363}

---

{"formula": "CsLiTl2Cl8", "functional": "GGA-PBE", "state": "relaxed", "cell": [[3.3181, 1.9157, 10.3360], [-3.3181, 1.9157, 10.3360], [0.0000, -3.8315, 10.3360]], "species": ["Cs", "Li", "Tl", "Tl", "Cl", "Cl", "Cl", "Cl", "Cl", "Cl", "Cl", "Cl"], "frac_coords": [[0.0000, 0.0000, 0.0000], [0.5000, 0.5000, 0.5000], [0.2448, 0.2448, 0.2448], [0.7552, 0.7552, 0.7552], [0.1422, 0.4230, 0.7632], [0.2368, 0.5770, 0.8578], [0.3247, 0.3247, 0.3247], [0.4230, 0.7632, 0.1422], [0.5770, 0.8578, 0.2368], [0.6753, 0.6753, 0.6753], [0.7632, 0.1422, 0.4230], [0.8578, 0.2368, 0.5770]], "e_form_raw_ev_per_atom": -1.073}

---

{"formula": "CsLiTlCl3", "functional": "GGA-PBE", "state": "relaxed", "cell": [[9.8301, 0.0000, 0.0000], [0.0000, 4.4035, 0.0000], [-1.5759, 0.0000, 10.0204]], "species": ["Cs", "Cs", "Li", "Li", "Tl", "Tl", "Cl", "Cl", "Cl", "Cl", "Cl", "Cl"], "frac_coords": [[0.1999, 0.2500, 0.1648], [0.8001, 0.7500, 0.8352], [0.4039, 0.7500, 0.9134], [0.5961, 0.2500, 0.0866], [0.1678, 0.2500, 0.6386], [0.8322, 0.7500, 0.3614], [0.1442, 0.7500, 0.4112], [0.1640, 0.7500, 0.8855], [0.4970, 0.2500, 0.8548], [0.5030, 0.7500, 0.1452], [0.8360, 0.2500, 0.1145], [0.8558, 0.2500, 0.5888]], "e_form_raw_ev_per_atom": -1.591}

---

{"formula": "CsLiTlCl6", "functional": "GGA-PBE", "state": "relaxed", "cell": [[5.4414, 0.0000, 0.0000], [2.5820, 6.4198, 0.0000], [0.0393, 0.3330, 8.8230]], "species": ["Cs", "Li", "Tl", "Cl", "Cl", "Cl", "Cl", "Cl", "Cl"], "frac_coords": [[0.0000, 0.0000, 0.0000], [0.6664, 0.5541, 0.3091], [0.3977, 0.1859, 0.4947], [0.2625, 0.5672, 0.4850], [0.4735, 0.4907, 0.0802], [0.5123, 0.9799, 0.7345], [0.5407, 0.9402, 0.2811], [0.8994, 0.2242, 0.4564], [0.9726, 0.4969, 0.0840]], "e_form_raw_ev_per_atom": -1.120}

---

{"formula": "Cs2LiTlCl4", "functional": "GGA-PBE", "state": "relaxed", "cell": [[6.5836, -6.4014, 0.0000], [6.5836, 6.4014, 0.0000], [-6.3105, 0.0000, 6.7087]], "species": ["Cs", "Cs", "Cs", "Cs", "Li", "Li", "Tl", "Tl", "Cl", "Cl", "Cl", "Cl", "Cl", "Cl", "Cl", "Cl"], "frac_coords": [[0.0000, 0.0000, 0.0000], [0.0000, 0.0000, 0.5000], [0.0000, 0.5000, 0.0000], [0.5000, 0.0000, 0.5000], [0.0000, 0.5000, 0.5000], [0.5000, 0.0000, 0.0000], [0.5000, 0.5000, 0.0000], [0.5000, 0.5000, 0.5000], [0.2052, 0.3149, 0.5098], [0.2486, 0.7342, 0.5066], [0.2658, 0.7514, 0.9934], [0.3149, 0.2052, 0.0098], [0.6851, 0.7948, 0.9902], [0.7342, 0.2486, 0.0066], [0.7514, 0.2658, 0.4934], [0.7948, 0.6851, 0.4902]], "e_form_raw_ev_per_atom": -1.597}

---

Number 1: total DFT energy (no corrections) -3.093 eV/atom. Number 2: total DFT energy (no corrections) -3.997 eV/atom. Number 3: total DFT energy (no corrections) -4.148 eV/atom. Number 4: total DFT energy (no corrections) -3.223 eV/atom. Number 5: total DFT energy (no corrections) -2.929 eV/atom. Number 6: total DFT energy (no corrections) -3.370 eV/atom. Number 7: total DFT energy (no corrections) -2.922 eV/atom. Number 8: total DFT energy (no corrections) -3.268 eV/atom.